Density functional theory data (PBE) for a relaxed Nb4VGe crystal.

Results
The formation energy comes out at 0.772 eV per atom. Its total magnetization is 0.000 μB per atom. The total energy is -98.766 eV per cell. The value obtained for the density of states at the Fermi level is 1.04 states/eV per atom. The calculation puts the mass density at 6.67 Mg/m³.

a b c (Å): 6.915 6.915 6.915
angles (deg): 115.73 115.73 97.56
Element x y z (fractional)
1 Nb 0.241 0.556 0.315
2 Nb 0.839 0.008 0.831
3 Nb 0.758 0.427 0.669
4 Nb 0.306 0.491 0.815
5 Nb 0.177 0.008 0.169
6 Nb 0.677 0.491 0.185
7 Nb 0.241 0.927 0.685
8 Nb 0.758 0.089 0.331
9 Ge 0.496 0.996 0.500
10 Ge 0.746 0.746 0.000
11 V 0.005 0.505 0.500
12 V 0.255 0.255 0.000